Record 1
This record from Alexandria describes a geometry-optimized Cs2KRb2 structure. The functional is PBE.

Values from the calculation:
Crystal system: tetragonal
Distance to the lowest polymorph of the same formula: 64 meV/atom
Total magnetic moment: 0.000 μB/cell

The structure in CIF format:
```
data_Cs2KRb2
_cell_length_a 6.311
_cell_length_b 6.311
_cell_length_c 26.546
_cell_angle_alpha 90.00
_cell_angle_beta 90.00
_cell_angle_gamma 90.00
_space_group_name_H-M_alt 'I 4/m m m'
_space_group_IT_number 139
_space_group_name_Hall '-I 4 2'
loop_
_atom_site_label
_atom_site_type_symbol
_atom_site_fract_x
_atom_site_fract_y
_atom_site_fract_z
_atom_site_occupancy
Cs1 Cs 0.000 0.000 0.096 1
K1 K 0.000 0.000 0.500 1
Rb1 Rb 0.000 0.500 0.250 1
```

=====

Record 2
This record from Alexandria describes a geometry-optimized RbLiBeBr4 structure. The functional is PBE.

Values from the calculation:
Crystal system: monoclinic
Total magnetic moment: 0.000 μB/cell
ΔE_f (raw): -1.375 eV/atom

The structure in CIF format:
```
data_RbLiBeBr4
_cell_length_a 6.270
_cell_length_b 7.443
_cell_length_c 9.413
_cell_angle_alpha 90.00
_cell_angle_beta 107.54
_cell_angle_gamma 90.00
_space_group_name_H-M_alt 'P 1 21/m 1'
_space_group_IT_number 11
loop_
_space_group_symop_operation_xyz
'x,y,z'
'-x,-y,-z'
'-x,y+1/2,-z'
'x,-y+1/2,z'
loop_
_atom_site_label
_atom_site_type_symbol
_atom_site_fract_x
_atom_site_fract_y
_atom_site_fract_z
_atom_site_occupancy
Rb1 Rb 0.215 0.250 0.408 1
Li1 Li 0.356 0.250 0.987 1
Be1 Be 0.307 0.750 0.196 1
Br1 Br 0.039 0.750 0.988 1
Br2 Br 0.195 0.750 0.395 1
Br3 Br 0.467 0.015 0.794 1
```

=====

Record 3
This record from Alexandria describes a geometry-optimized BeMo2Se2 structure. The functional is PBE.

Values from the calculation:
Crystal system: tetragonal
Distance to the lowest polymorph of the same formula: 0 meV/atom
Total magnetic moment: 0.000 μB/cell
ΔE_f (raw): 0.473 eV/atom

The structure in CIF format:
```
data_BeMo2Se2
_cell_length_a 3.791
_cell_length_b 3.791
_cell_length_c 15.162
_cell_angle_alpha 90.00
_cell_angle_beta 90.00
_cell_angle_gamma 90.00
_space_group_name_H-M_alt 'I 4/m m m'
_space_group_IT_number 139
_space_group_name_Hall '-I 4 2'
loop_
_atom_site_label
_atom_site_type_symbol
_atom_site_fract_x
_atom_site_fract_y
_atom_site_fract_z
_atom_site_occupancy
Be1 Be 0.000 0.000 0.000 1
Mo1 Mo 0.000 0.500 0.250 1
Se1 Se 0.000 0.000 0.368 1
```

=====

no.,N(E_F) (states/eV/atom)
1,1.0452
2,0.0000
3,1.0976